1.
The following is a PBE calculation of a relaxed structure of Tb3Ga2, from Alexandria via LeMat-Bulk.

Properties
SG	No. 140
formation enthalpy at 0 K	-0.536	eV per atom

Geometry as CIF:
```
data_Tb3Ga2
_space_group_name_H-M_alt 'P 1'
_space_group_IT_number 1
_space_group_name_Hall 'P 1'
_cell_length_a 11.1448
_cell_length_b 11.1448
_cell_length_c 11.1448
_cell_angle_alpha 116.79
_cell_angle_beta 116.79
_cell_angle_gamma 95.66
loop_
_atom_site_label
_atom_site_fract_x
_atom_site_fract_y
_atom_site_fract_z
_atom_site_occupancy
Tb1 0.0668 0.9323 0.2692 1
Tb2 0.0677 0.3370 0.1346 1
Tb3 0.1469 0.6469 0.5000 1
Tb4 0.1630 0.4323 0.8654 1
Tb5 0.1687 0.3313 0.5000 1
Tb6 0.2024 0.9332 0.8654 1
Tb7 0.2976 0.1630 0.7308 1
Tb8 0.3313 0.8313 0.1626 1
Tb9 0.3370 0.2024 0.2692 1
Tb10 0.3531 0.8531 0.5000 1
Tb11 0.4323 0.5668 0.2692 1
Tb12 0.4332 0.7024 0.8654 1
Tb13 0.5668 0.2976 0.1346 1
Tb14 0.5677 0.4332 0.7308 1
Tb15 0.6469 0.1469 0.5000 1
Tb16 0.6630 0.7976 0.7308 1
Tb17 0.6687 0.1687 0.8374 1
Tb18 0.7024 0.8370 0.2692 1
Tb19 0.7976 0.0668 0.1346 1
Tb20 0.8313 0.6687 0.5000 1
Tb21 0.8370 0.5677 0.1346 1
Tb22 0.8531 0.3531 0.5000 1
Tb23 0.9323 0.6630 0.8654 1
Tb24 0.9332 0.0677 0.7308 1
Ga1 0.0000 0.0000 0.0000 1
Ga2 0.0242 0.8797 0.5000 1
Ga3 0.1172 0.6172 0.7344 1
Ga4 0.1203 0.6203 0.1445 1
Ga5 0.2500 0.2500 0.0000 1
Ga6 0.3797 0.5242 0.5000 1
Ga7 0.3828 0.1172 0.5000 1
Ga8 0.4758 0.9758 0.8555 1
Ga9 0.5000 0.5000 0.0000 1
Ga10 0.5242 0.0242 0.1445 1
Ga11 0.6172 0.8828 0.5000 1
Ga12 0.6203 0.4758 0.5000 1
Ga13 0.7500 0.7500 0.0000 1
Ga14 0.8797 0.3797 0.8555 1
Ga15 0.8828 0.3828 0.2656 1
Ga16 0.9758 0.1203 0.5000 1
```



2.
The following is a PBE calculation of a relaxed structure of TbGa6Tc, from Alexandria via LeMat-Bulk.

Properties
SG	No. 166
formation enthalpy at 0 K	-0.196	eV per atom

Geometry as CIF:
```
data_TbGa6Tc
_space_group_name_H-M_alt 'P 1'
_space_group_IT_number 1
_space_group_name_Hall 'P 1'
_cell_length_a 5.8025
_cell_length_b 5.8025
_cell_length_c 5.8025
_cell_angle_alpha 107.41
_cell_angle_beta 107.41
_cell_angle_gamma 107.41
loop_
_atom_site_label
_atom_site_fract_x
_atom_site_fract_y
_atom_site_fract_z
_atom_site_occupancy
Tb1 0.0000 0.0000 0.0000 1
Ga1 0.2178 0.2178 0.6507 1
Ga2 0.2178 0.6507 0.2178 1
Ga3 0.3493 0.7822 0.7822 1
Ga4 0.6507 0.2178 0.2178 1
Ga5 0.7822 0.3493 0.7822 1
Ga6 0.7822 0.7822 0.3493 1
Tc1 0.5000 0.5000 0.5000 1
```



- What is the formation enthalpy at 0 K in the first record?
  -0.536 eV per atom